Entry 1:
DFT (PBE) results for a relaxed structure of KHfC2.

Lattice parameters (Å, degrees): 7.3407 7.3407 7.3407 135.25 135.25 65.15
Sites, in units of the cell vectors:
K1 0.0000 0.0000 0.0000
K2 0.7500 0.2500 0.5000
Hf1 0.2500 0.7500 0.5000
Hf2 0.5000 0.5000 0.0000
C1 0.2909 0.6250 0.1659
C2 0.3750 0.5409 0.6659
C3 0.4591 0.1250 0.8341
C4 0.8750 0.7091 0.3341

Calculated values
Calculated formation energy: 1.09 eV/atom
Polymorph energy (0 for the lowest one): 0.000 eV/atom
Volume: 193 Å³/cell
Calculated density: 4.15 g cm⁻³

Entry 2:
DFT (PBE) results for a relaxed structure of K3HfC.

Lattice parameters (Å, degrees): 6.6545 6.6545 6.6545 90.00 90.00 90.00
Sites, in units of the cell vectors:
K1 0.0000 0.0000 0.5000
K2 0.0000 0.5000 0.0000
K3 0.5000 0.0000 0.0000
Hf1 0.0000 0.0000 0.0000
C1 0.5000 0.5000 0.5000

Calculated values
Calculated formation energy: 2.60 eV/atom
Polymorph energy (0 for the lowest one): 0.715 eV/atom
Volume: 295 Å³/cell
Calculated density: 1.73 g cm⁻³

Entry 3:
DFT (PBE) results for a relaxed structure of KHfC2.

Lattice parameters (Å, degrees): 4.2927 4.2927 4.2927 60.00 60.00 60.00
Sites, in units of the cell vectors:
K1 0.0000 0.0000 0.0000
Hf1 0.5000 0.5000 0.5000
C1 0.2500 0.2500 0.2500
C2 0.7500 0.7500 0.7500

Calculated values
Calculated formation energy: 1.78 eV/atom
Polymorph energy (0 for the lowest one): 0.687 eV/atom
Volume: 56 Å³/cell
Calculated density: 7.17 g cm⁻³